Record 1
This record from Alexandria describes a relaxed structure of ErH7Ru2. The functional is PBE-GGA.

It has space group Cmmm (No. 65), with a = 5.603 Å, b = 8.459 Å, c = 3.451 Å, α = 90.00°, β = 90.00° and γ = 90.00°. The asymmetric unit holds Er at (0.000, 0.000, 0.000), H at (0.000, 0.271, 0.000), H at (0.000, 0.500, 0.500), H at (0.196, 0.133, 0.500) and Ru at (0.000, 0.299, 0.500).

As for the energy: -4.83 eV per atom. Its calculated volume is 164 Å³/cell.



Record 2
This record from Alexandria describes a relaxed structure of ErH6Ru. The functional is PBE-GGA.

It has space group R-3m (No. 166, hexagonal axes), with a = 4.3483 Å, b = 4.3483 Å, c = 11.5821 Å, α = 90.00°, β = 90.00° and γ = 120.00°. The asymmetric unit holds Er at (0.0000, 0.0000, 0.0000), H at (0.0312, 0.5156, 0.9184) and Ru at (0.0000, 0.0000, 0.5000).

As for the energy: -4.41 eV per atom. Its calculated volume is 190 Å³/cell.



Record 3
This record from Alexandria describes a relaxed structure of ErH5Ru. The functional is PBE-GGA.

It has space group Imm2 (No. 44), with a = 5.179 Å, b = 7.483 Å, c = 3.669 Å, α = 90.00°, β = 90.00° and γ = 90.00°. The asymmetric unit holds Er at (0.000, 0.000, 0.000), H at (0.000, 0.277, 0.998), H at (0.000, 0.500, 0.499), H at (0.181, 0.000, 0.500) and Ru at (0.000, 0.500, 0.999).

As for the energy: -4.59 eV per atom. Its calculated volume is 142 Å³/cell.



Record 4
This record from Alexandria describes a relaxed structure of ErH6Ru2. The functional is PBE-GGA.

It has space group C2/m (No. 12), with a = 9.250 Å, b = 3.573 Å, c = 6.335 Å, α = 90.00°, β = 125.81° and γ = 90.00°. The asymmetric unit holds Er at (0.000, 0.000, 0.000), H at (0.042, 0.000, 0.706), H at (0.155, 0.500, 0.085), H at (0.218, 0.500, 0.594) and Ru at (0.177, 0.000, 0.598).

Its calculated volume is 170 Å³/cell. For the energy above the most stable polymorph in this dataset, the calculation gives 42.1 meV per atom.



Record 5
This record from Alexandria describes a relaxed structure of ErH9Ru2. The functional is PBE-GGA.

It has space group I4_1/amd (No. 141, origin choice 2), with a = 8.045 Å, b = 8.045 Å, c = 5.114 Å, α = 90.00°, β = 90.00° and γ = 90.00°. The asymmetric unit holds Er at (0.000, 0.250, 0.375), H at (0.000, 0.250, 0.875), H at (0.116, 0.049, 0.708) and Ru at (0.000, 0.000, 0.000).

As for the energy: -4.39 eV per atom. Its calculated volume is 331 Å³/cell.



Record 6
This record from Alexandria describes a relaxed structure of ErH2Ru. The functional is PBE-GGA.

It has space group R-3m (No. 166, hexagonal axes), with a = 3.6012 Å, b = 3.6012 Å, c = 13.1012 Å, α = 90.00°, β = 90.00° and γ = 120.00°. The asymmetric unit holds Er at (0.0000, 0.0000, 0.0000), H at (0.0000, 0.0000, 0.3713) and Ru at (0.0000, 0.0000, 0.5000).

As for the energy: -5.41 eV per atom. Its calculated volume is 147 Å³/cell.



Record 7
This record from Alexandria describes a relaxed structure of ErHS. The functional is PBE-GGA.

It has space group Cmcm (No. 63), with a = 3.838 Å, b = 9.934 Å, c = 5.447 Å, α = 90.00°, β = 90.00° and γ = 90.00°. The asymmetric unit holds Er at (0.000, 0.143, 0.250), H at (0.000, 0.432, 0.750) and S at (0.000, 0.147, 0.750).

As for the energy: -5.33 eV per atom. Its calculated volume is 208 Å³/cell.



Record 8
This record from Alexandria describes a relaxed structure of Er2HS. The functional is PBE-GGA.

It has space group R3m (No. 160, hexagonal axes), with a = 3.6496 Å, b = 3.6496 Å, c = 20.9480 Å, α = 90.00°, β = 90.00° and γ = 120.00°. The asymmetric unit holds Er at (0.0000, 0.0000, 0.0000), Er at (0.0000, 0.0000, 0.1700), H at (0.0000, 0.0000, 0.3576) and S at (0.0000, 0.0000, 0.5856).

As for the energy: -5.14 eV per atom. Its calculated volume is 242 Å³/cell.



Record 9
This record from Alexandria describes a relaxed structure of Er4H2S5. The functional is PBE-GGA.

It has space group C2/m (No. 12), with a = 18.789 Å, b = 3.892 Å, c = 7.776 Å, α = 90.00°, β = 103.60° and γ = 90.00°. The asymmetric unit holds Er at (0.036, 0.000, 0.257), Er at (0.170, 0.500, 0.552), H at (0.070, 0.500, 0.358), S at (0.000, 0.500, 0.000), S at (0.091, 0.000, 0.647) and S at (0.186, 0.000, 0.317).

As for the energy: -5.80 eV per atom. Its calculated volume is 553 Å³/cell.



Record 10
This record from Alexandria describes a relaxed structure of ErHS2. The functional is PBE-GGA.

It has space group Pmn2_1 (No. 31), with a = 4.047 Å, b = 6.009 Å, c = 6.702 Å, α = 90.00°, β = 90.00° and γ = 90.00°. The asymmetric unit holds Er at (0.000, 0.217, 0.000), H at (0.000, 0.332, 0.465), S at (0.000, 0.012, 0.651) and S at (0.000, 0.509, 0.333).

Its calculated volume is 163 Å³/cell. For the energy above the most stable polymorph in this dataset, the calculation gives 0.0 meV per atom.



Record 11
This record from Alexandria describes a relaxed structure of ErHS. The functional is PBE-GGA.

It has space group I4mm (No. 107), with a = 3.643 Å, b = 3.643 Å, c = 7.448 Å, α = 90.00°, β = 90.00° and γ = 90.00°. The asymmetric unit holds Er at (0.000, 0.000, 0.000), H at (0.000, 0.000, 0.285) and S at (0.000, 0.000, 0.631).

As for the energy: -5.03 eV per atom. Its calculated volume is 99 Å³/cell.



Record 12
This record from Alexandria describes a relaxed structure of ErHS2. The functional is PBE-GGA.

It has space group R-3m (No. 166, hexagonal axes), with a = 4.0444 Å, b = 4.0444 Å, c = 18.2281 Å, α = 90.00°, β = 90.00° and γ = 120.00°. The asymmetric unit holds Er at (0.0000, 0.0000, 0.0000), H at (0.0000, 0.0000, 0.5000) and S at (0.0000, 0.0000, 0.4106).

Its calculated volume is 258 Å³/cell. For the energy above the most stable polymorph in this dataset, the calculation gives 41.0 meV per atom.